Entry 1:
DyPaSbC, relaxed, DFT PBE-GGA; energy relative to the elements, uncorrected = -9.25 kcal/mol of atoms
1.0
2.0356 1.1752 13.9879
-2.0356 1.1752 13.9879
0.0000 -2.3505 13.9879
Dy Pa Sb C
2 2 2 2
Direct
0.2031 0.2031 0.2031
0.7969 0.7969 0.7969
0.3668 0.3668 0.3668
0.6332 0.6332 0.6332
0.0868 0.0868 0.0868
0.9132 0.9132 0.9132
0.3121 0.3121 0.3121
0.6879 0.6879 0.6879

Entry 2:
DyPa2SiC4, relaxed, DFT PBE-GGA; energy relative to the elements, uncorrected = -5.87 kcal/mol of atoms
1.0
1.7716 -5.8264 0.0000
1.7716 5.8264 0.0000
0.0000 0.0000 11.7790
Dy Pa Si C
2 4 2 8
Direct
0.1028 0.8972 0.7500
0.8972 0.1028 0.2500
0.3699 0.6301 0.5508
0.3699 0.6301 0.9492
0.6301 0.3699 0.0508
0.6301 0.3699 0.4492
0.1666 0.8334 0.2500
0.8334 0.1666 0.7500
0.0000 0.0000 0.0000
0.0000 0.0000 0.5000
0.2672 0.7328 0.1258
0.2672 0.7328 0.3742
0.4229 0.5771 0.7500
0.5771 0.4229 0.2500
0.7328 0.2672 0.6258
0.7328 0.2672 0.8742

Entry 3:
Dy2PaSiC4, relaxed, DFT PBE-GGA; energy relative to the elements, uncorrected = -1.65 kcal/mol of atoms
1.0
1.7131 -5.7054 0.0000
1.7131 5.7054 0.0000
0.0000 0.0000 11.9557
Dy Pa Si C
4 2 2 8
Direct
0.1347 0.8653 0.5496
0.1347 0.8653 0.9504
0.8653 0.1347 0.0496
0.8653 0.1347 0.4504
0.3962 0.6038 0.7500
0.6038 0.3962 0.2500
0.3372 0.6628 0.2500
0.6628 0.3372 0.7500
0.0586 0.9414 0.7500
0.2249 0.7751 0.1365
0.2249 0.7751 0.3635
0.5000 0.5000 0.0000
0.5000 0.5000 0.5000
0.7751 0.2249 0.6365
0.7751 0.2249 0.8635
0.9414 0.0586 0.2500

Entry 4:
Dy2PaTaC4, relaxed, DFT PBE-GGA; formation enthalpy at 0 K = -0.426 eV per atom
1.0
-3.4435 3.5029 4.9172
3.4435 -3.5029 4.9172
3.4435 3.5029 -4.9172
Dy Pa Ta C
4 2 2 8
Direct
0.0000 0.0000 0.0000
0.5000 0.0000 0.0000
0.5000 0.0000 0.5000
0.5000 0.5000 0.5000
0.0000 0.5000 0.5000
0.5000 0.5000 0.0000
0.0000 0.0000 0.5000
0.0000 0.5000 0.0000
0.2206 0.7460 0.4746
0.2286 0.2540 0.9746
0.2315 0.2440 0.5125
0.2315 0.7190 0.9875
0.7685 0.2810 0.0125
0.7685 0.7560 0.4875
0.7714 0.7460 0.0254
0.7794 0.2540 0.5254

Entry 5:
DyPa2TcC4, relaxed, DFT PBE-GGA; formation enthalpy at 0 K = -0.149 eV per atom
1.0
1.7950 -5.9090 0.0000
1.7950 5.9090 0.0000
0.0000 0.0000 11.8478
Dy Pa Tc C
2 4 2 8
Direct
0.1233 0.8767 0.7500
0.8767 0.1233 0.2500
0.3679 0.6321 0.5432
0.3679 0.6321 0.9568
0.6321 0.3679 0.0432
0.6321 0.3679 0.4568
0.1413 0.8587 0.2500
0.8587 0.1413 0.7500
0.0000 0.0000 0.0000
0.0000 0.0000 0.5000
0.2629 0.7371 0.1283
0.2629 0.7371 0.3717
0.4371 0.5629 0.7500
0.5629 0.4371 0.2500
0.7371 0.2629 0.6283
0.7371 0.2629 0.8717

Entry 6:
Dy2ThPaC4, relaxed, DFT PBE-GGA; formation enthalpy at 0 K = -0.260 eV per atom
1.0
6.2506 0.0000 0.0000
0.0000 3.6707 0.0000
-2.1000 0.0000 5.9688
Dy Th Pa C
2 1 1 4
Direct
0.0000 0.0000 0.0000
0.0000 0.5000 0.5000
0.5000 0.0000 0.5000
0.5000 0.5000 0.0000
0.2615 0.5000 0.2393
0.2675 0.0000 0.7660
0.7325 0.0000 0.2340
0.7385 0.5000 0.7607

Entry 7:
DyTh2PaC4, relaxed, DFT PBE-GGA; formation enthalpy at 0 K = -0.297 eV per atom
1.0
6.3657 0.0000 0.0000
0.0000 3.7037 0.0000
-2.1142 0.0000 6.0385
Dy Th Pa C
1 2 1 4
Direct
0.0000 0.0000 0.0000
0.0000 0.5000 0.5000
0.5000 0.0000 0.5000
0.5000 0.5000 0.0000
0.2615 0.5000 0.2403
0.2645 0.0000 0.7652
0.7355 0.0000 0.2348
0.7385 0.5000 0.7597

Entry 8:
DyUPa2C4, relaxed, DFT PBE-GGA; formation enthalpy at 0 K = -0.329 eV per atom
1.0
6.1613 0.0000 0.0000
0.0000 3.5833 0.0000
-2.0823 0.0000 5.8321
Dy U Pa C
1 1 2 4
Direct
0.0000 0.0000 0.0000
0.5000 0.5000 0.0000
0.0000 0.5000 0.5000
0.5000 0.0000 0.5000
0.2648 0.0000 0.7571
0.2694 0.5000 0.2555
0.7306 0.5000 0.7445
0.7352 0.0000 0.2429

The evaluated VASP energy for the records listed, in turn: -7.26; -8.49; -7.70; -8.86; -9.01; -8.14; -8.53; -9.30 eV per atom.
The evaluated N(E_F) for the records listed, in turn: 1.4; 4.0; 10.2; 2.1; 8.4; 8.3; 4.7; 8.2 states/eV/cell.